SbPC2I: relaxed, PBE.

## Properties
As for the magnetic moment: 0.068 Bohr magnetons per cell. The calculation puts the density of states at the Fermi level at 3.399 states/eV/cell. The volume is 17.57 A^3/atom. Its total energy is -3.752 eV/atom.

Unit cell a=4.0482 b=5.3614 c=4.0482 alpha=90.00 beta=90.00 gamma=90.00
With the nearest neighbours (Å) after each atom.
Element x y z (fractional)
I 0.0000 0.5000 0.0000  2 P 2.68, 4 Sb 2.86
Sb 0.5000 0.5000 0.5000  4 I 2.86
C 0.0000 0.0000 0.5000  2 P 2.02
C 0.5000 0.0000 0.0000  2 P 2.02
P 0.0000 0.0000 0.0000  4 C 2.02

=====

SbPCI2: relaxed, PBE.

## Properties
As for the magnetic moment: 0.222 Bohr magnetons per cell. The calculation puts the density of states at the Fermi level at 3.525 states/eV/cell. The energy above the most stable polymorph in this dataset is 0.000 eV/atom. The volume is 23.71 A^3/atom.

Unit cell a=4.9873 b=4.9873 c=4.7662 alpha=90.00 beta=90.00 gamma=90.00
With the nearest neighbours (Å) after each atom.
Element x y z (fractional)
I 0.0000 0.5000 0.0000  2 C 2.49
I 0.5000 0.0000 0.0000  2 C 2.49
Sb 0.0000 0.0000 0.5000  2 C 2.38
C 0.0000 0.0000 0.0000  2 Sb 2.38, 4 I 2.49
P 0.5000 0.5000 0.5000  8 I 3.45, 4 Sb 3.53

=====

Sm8P3CI4: relaxed, PBE.

## Properties
As for the magnetic moment: 0.000 Bohr magnetons per cell. The calculation puts the density of states at the Fermi level at 7.640 states/eV/cell. The volume is 27.78 A^3/atom. Its total energy is -5.531 eV/atom.

Unit cell a=8.2158 b=8.9623 c=8.2158 alpha=117.29 beta=120.00 gamma=90.00
With the nearest neighbours (Å) after each atom.
Element x y z (fractional)
Sm 0.2133 0.6801 0.9669  1 C 2.57, 2 P 2.83
Sm 0.2133 0.6801 0.4266  1 C 2.58, 2 P 2.83
Sm 0.2714 0.3142 0.5427  3 P 2.76
Sm 0.7537 0.6801 0.9669  1 C 2.57, 2 P 2.83
Sm 0.2463 0.3199 0.0331  1 C 2.57, 2 P 2.83
Sm 0.7286 0.6858 0.4573  3 P 2.76
Sm 0.7867 0.3199 0.5734  1 C 2.58, 2 P 2.83
Sm 0.7867 0.3199 0.0331  1 C 2.57, 2 P 2.83
P 0.5000 0.5000 0.0000  6 Sm 2.76-2.83
P 0.5000 0.5000 0.5000  6 Sm 2.76-2.83
P 0.0000 0.5000 0.5000  6 Sm 2.76-2.83
C 0.0000 0.5000 0.0000  6 Sm 2.57-2.58
I 0.5000 0.0000 0.0000  6 Sm 3.53
I 0.5000 0.0000 0.5000  6 Sm 3.33-3.37
I 0.0000 0.0000 0.0000  6 Sm 3.34-3.37
I 0.0000 0.0000 0.5000  6 Sm 3.33-3.37

=====

- Which of these has the lowest magnetic moment?
  Sm8P3CI4

=====

- Among the records above, which one has the lowest magnetic moment?
  Sm8P3CI4

=====

- What is the magnetic moment in the first record?
  0.068 Bohr magnetons per cell

=====

- The highest magnetic moment belongs to which entry?
  SbPCI2